Entry 1:
First-principles (PBE) data for a relaxed Sm2Te2Cl crystal, as listed in Alexandria via LeMat-Bulk.

```
data_Sm2Te2Cl
_space_group_name_H-M_alt 'P 1'
_space_group_IT_number 1
_cell_length_a 6.250
_cell_length_b 4.346
_cell_length_c 13.003
_cell_angle_alpha 90.00
_cell_angle_beta 93.91
_cell_angle_gamma 90.00
loop_
_space_group_symop_operation_xyz
'x,y,z'
loop_
_atom_site_label
_atom_site_type_symbol
_atom_site_fract_x
_atom_site_fract_y
_atom_site_fract_z
Sm1 Sm 0.212 0.250 0.234
Sm2 Sm 0.263 0.250 0.589
Sm3 Sm 0.737 0.750 0.411
Sm4 Sm 0.788 0.750 0.766
Te1 Te 0.237 0.750 0.411
Te2 Te 0.288 0.750 0.764
Te3 Te 0.712 0.250 0.236
Te4 Te 0.763 0.250 0.589
Cl1 Cl 0.195 0.750 0.107
Cl2 Cl 0.805 0.250 0.893
```

Computed properties:
Density of states at the Fermi level = 3.263 states/eV/cell
Symmetry = No. 11
Energy relative to the elements, uncorrected = -8.09 eV per formula unit
Total DFT energy (no corrections) = -5.132 eV per atom



Entry 2:
First-principles (PBE) data for a relaxed TbAlZn crystal, as listed in Alexandria via LeMat-Bulk.

```
data_TbAlZn
_space_group_name_H-M_alt 'P 1'
_space_group_IT_number 1
_cell_length_a 13.045
_cell_length_b 4.052
_cell_length_c 7.075
_cell_angle_alpha 90.00
_cell_angle_beta 90.00
_cell_angle_gamma 90.00
loop_
_space_group_symop_operation_xyz
'x,y,z'
loop_
_atom_site_label
_atom_site_type_symbol
_atom_site_fract_x
_atom_site_fract_y
_atom_site_fract_z
Tb1 Tb 0.043 0.000 0.239
Tb2 Tb 0.250 0.000 0.639
Tb3 Tb 0.457 0.000 0.239
Tb4 Tb 0.543 0.000 0.761
Tb5 Tb 0.750 0.000 0.361
Tb6 Tb 0.957 0.000 0.761
Al1 Al 0.139 0.500 0.924
Al2 Al 0.250 0.500 0.292
Al3 Al 0.361 0.500 0.924
Al4 Al 0.639 0.500 0.076
Al5 Al 0.750 0.500 0.708
Al6 Al 0.861 0.500 0.076
Zn1 Zn 0.092 0.500 0.550
Zn2 Zn 0.250 0.000 0.057
Zn3 Zn 0.408 0.500 0.550
Zn4 Zn 0.592 0.500 0.450
Zn5 Zn 0.750 0.000 0.943
Zn6 Zn 0.908 0.500 0.450
```

Computed properties:
Density of states at the Fermi level = 11.534 states/eV/cell
Symmetry = No. 51
Formation energy = -39.3 kJ/mol of atoms
Total DFT energy (no corrections) = -3.623 eV per atom



Entry 3:
First-principles (PBE) data for a relaxed Pr2Be3Cu12Pd crystal, as listed in Alexandria via LeMat-Bulk.

```
data_Pr2Be3Cu12Pd
_space_group_name_H-M_alt 'P 1'
_space_group_IT_number 1
_cell_length_a 7.434
_cell_length_b 7.434
_cell_length_c 7.434
_cell_angle_alpha 61.16
_cell_angle_beta 61.16
_cell_angle_gamma 61.16
loop_
_space_group_symop_operation_xyz
'x,y,z'
loop_
_atom_site_label
_atom_site_type_symbol
_atom_site_fract_x
_atom_site_fract_y
_atom_site_fract_z
Pr1 Pr 0.106 0.106 0.106
Pr2 Pr 0.894 0.894 0.894
Be1 Be 0.000 0.500 0.500
Be2 Be 0.500 0.000 0.500
Be3 Be 0.500 0.500 0.000
Cu1 Cu 0.101 0.624 0.624
Cu2 Cu 0.166 0.166 0.602
Cu3 Cu 0.166 0.602 0.166
Cu4 Cu 0.376 0.376 0.899
Cu5 Cu 0.376 0.899 0.376
Cu6 Cu 0.398 0.834 0.834
Cu7 Cu 0.602 0.166 0.166
Cu8 Cu 0.624 0.101 0.624
Cu9 Cu 0.624 0.624 0.101
Cu10 Cu 0.834 0.398 0.834
Cu11 Cu 0.834 0.834 0.398
Cu12 Cu 0.899 0.376 0.376
Pd1 Pd 0.500 0.500 0.500
```

Computed properties:
Density of states at the Fermi level = 10.337 states/eV/cell
Symmetry = No. 166
Formation energy = 31.1 kJ/mol of atoms
Total DFT energy (no corrections) = -3.849 eV per atom



Entry 4:
First-principles (PBE) data for a relaxed Sm2Sn4Rh5 crystal, as listed in Alexandria via LeMat-Bulk.

```
data_Sm2Sn4Rh5
_space_group_name_H-M_alt 'P 1'
_space_group_IT_number 1
_cell_length_a 9.466
_cell_length_b 8.576
_cell_length_c 5.770
_cell_angle_alpha 79.97
_cell_angle_beta 63.15
_cell_angle_gamma 36.89
loop_
_space_group_symop_operation_xyz
'x,y,z'
loop_
_atom_site_label
_atom_site_type_symbol
_atom_site_fract_x
_atom_site_fract_y
_atom_site_fract_z
Sm1 Sm 0.115 0.115 0.885
Sm2 Sm 0.885 0.885 0.115
Sn1 Sn 0.210 0.530 0.470
Sn2 Sn 0.470 0.790 0.210
Sn3 Sn 0.530 0.210 0.790
Sn4 Sn 0.790 0.470 0.530
Rh1 Rh 0.000 0.000 0.500
Rh2 Rh 0.250 0.250 0.250
Rh3 Rh 0.500 0.500 0.000
Rh4 Rh 0.500 0.500 0.500
Rh5 Rh 0.750 0.750 0.750
```

Computed properties:
Density of states at the Fermi level = 4.130 states/eV/cell
Symmetry = No. 69
Formation energy = -56.8 kJ/mol of atoms
Total DFT energy (no corrections) = -6.244 eV per atom



Entry 5:
First-principles (PBE) data for a relaxed TbErNi2Ge2 crystal, as listed in Alexandria via LeMat-Bulk.

```
data_TbErNi2Ge2
_space_group_name_H-M_alt 'P 1'
_space_group_IT_number 1
_cell_length_a 4.210
_cell_length_b 4.210
_cell_length_c 7.121
_cell_angle_alpha 90.00
_cell_angle_beta 90.00
_cell_angle_gamma 120.00
loop_
_space_group_symop_operation_xyz
'x,y,z'
loop_
_atom_site_label
_atom_site_type_symbol
_atom_site_fract_x
_atom_site_fract_y
_atom_site_fract_z
Tb1 Tb 0.000 0.000 0.000
Er1 Er 0.000 0.000 0.500
Ni1 Ni 0.333 0.667 0.736
Ni2 Ni 0.667 0.333 0.264
Ge1 Ge 0.333 0.667 0.258
Ge2 Ge 0.667 0.333 0.742
```

Computed properties:
Density of states at the Fermi level = 5.080 states/eV/cell
Symmetry = No. 164
Formation energy = -73.7 kJ/mol of atoms
Total DFT energy (no corrections) = -5.762 eV per atom



Entry 6:
First-principles (PBE) data for a relaxed CsZnF3 crystal, as listed in Alexandria via LeMat-Bulk.

```
data_CsZnF3
_space_group_name_H-M_alt 'P 1'
_space_group_IT_number 1
_cell_length_a 8.279
_cell_length_b 8.279
_cell_length_c 5.832
_cell_angle_alpha 90.00
_cell_angle_beta 90.00
_cell_angle_gamma 144.85
loop_
_space_group_symop_operation_xyz
'x,y,z'
loop_
_atom_site_label
_atom_site_type_symbol
_atom_site_fract_x
_atom_site_fract_y
_atom_site_fract_z
Cs1 Cs 0.162 0.838 0.750
Cs2 Cs 0.838 0.162 0.250
Zn1 Zn 0.420 0.580 0.750
Zn2 Zn 0.580 0.420 0.250
F1 F 0.000 0.000 0.000
F2 F 0.000 0.000 0.500
F3 F 0.077 0.401 0.750
F4 F 0.401 0.077 0.250
F5 F 0.599 0.923 0.750
F6 F 0.923 0.599 0.250
```

Computed properties:
Density of states at the Fermi level = 0.000 states/eV/cell
Symmetry = No. 63
Energy relative to the elements, uncorrected = -9.05 eV per formula unit
Total DFT energy (no corrections) = -3.358 eV per atom



Entry 7:
First-principles (PBE) data for a relaxed Y6Sb3AsS2 crystal, as listed in Alexandria via LeMat-Bulk.

```
data_Y6Sb3AsS2
_space_group_name_H-M_alt 'P 1'
_space_group_IT_number 1
_cell_length_a 7.253
_cell_length_b 7.253
_cell_length_c 7.294
_cell_angle_alpha 99.52
_cell_angle_beta 99.52
_cell_angle_gamma 120.03
loop_
_space_group_symop_operation_xyz
'x,y,z'
loop_
_atom_site_label
_atom_site_type_symbol
_atom_site_fract_x
_atom_site_fract_y
_atom_site_fract_z
Y1 Y 0.089 0.423 0.769
Y2 Y 0.242 0.242 0.229
Y3 Y 0.423 0.089 0.769
Y4 Y 0.577 0.911 0.231
Y5 Y 0.758 0.758 0.771
Y6 Y 0.911 0.577 0.231
Sb1 Sb 0.000 0.000 0.500
Sb2 Sb 0.334 0.666 0.500
Sb3 Sb 0.666 0.334 0.500
As1 As 0.500 0.500 0.000
S1 S 0.167 0.833 0.000
S2 S 0.833 0.167 0.000
```

Computed properties:
Density of states at the Fermi level = 2.424 states/eV/cell
Symmetry = No. 12
Energy relative to the elements, uncorrected = -17.86 eV per formula unit
Total DFT energy (no corrections) = -6.826 eV per atom



Entry 8:
First-principles (PBE) data for a relaxed Li3ScTl crystal, as listed in Alexandria via LeMat-Bulk.

```
data_Li3ScTl
_space_group_name_H-M_alt 'P 1'
_space_group_IT_number 1
_cell_length_a 4.924
_cell_length_b 4.924
_cell_length_c 4.924
_cell_angle_alpha 90.00
_cell_angle_beta 90.00
_cell_angle_gamma 90.00
loop_
_space_group_symop_operation_xyz
'x,y,z'
loop_
_atom_site_label
_atom_site_type_symbol
_atom_site_fract_x
_atom_site_fract_y
_atom_site_fract_z
Li1 Li 0.000 0.000 0.500
Li2 Li 0.000 0.500 0.000
Li3 Li 0.500 0.000 0.000
Sc1 Sc 0.500 0.500 0.500
Tl1 Tl 0.000 0.000 0.000
```

Computed properties:
Density of states at the Fermi level = 3.385 states/eV/cell
Symmetry = No. 221
Formation energy = 28.6 kJ/mol of atoms
Total DFT energy (no corrections) = -2.591 eV per atom



Entry 9:
First-principles (PBE) data for a relaxed KPb4Au2 crystal, as listed in Alexandria via LeMat-Bulk.

```
data_KPb4Au2
_space_group_name_H-M_alt 'P 1'
_space_group_IT_number 1
_cell_length_a 9.192
_cell_length_b 9.192
_cell_length_c 4.881
_cell_angle_alpha 90.00
_cell_angle_beta 90.00
_cell_angle_gamma 148.93
loop_
_space_group_symop_operation_xyz
'x,y,z'
loop_
_atom_site_label
_atom_site_type_symbol
_atom_site_fract_x
_atom_site_fract_y
_atom_site_fract_z
K1 K 0.000 0.000 0.000
Pb1 Pb 0.177 0.823 0.500
Pb2 Pb 0.319 0.681 0.000
Pb3 Pb 0.681 0.319 0.000
Pb4 Pb 0.823 0.177 0.500
Au1 Au 0.423 0.577 0.500
Au2 Au 0.577 0.423 0.500
```

Computed properties:
Density of states at the Fermi level = 2.959 states/eV/cell
Symmetry = No. 65
Formation energy = -10.6 kJ/mol of atoms
Total DFT energy (no corrections) = -3.322 eV per atom



Entry 10:
First-principles (PBE) data for a relaxed CsPm4Br12 crystal, as listed in Alexandria via LeMat-Bulk.

```
data_CsPm4Br12
_space_group_name_H-M_alt 'P 1'
_space_group_IT_number 1
_cell_length_a 9.606
_cell_length_b 9.606
_cell_length_c 9.606
_cell_angle_alpha 109.47
_cell_angle_beta 109.47
_cell_angle_gamma 109.47
loop_
_space_group_symop_operation_xyz
'x,y,z'
loop_
_atom_site_label
_atom_site_type_symbol
_atom_site_fract_x
_atom_site_fract_y
_atom_site_fract_z
Cs1 Cs 0.000 0.000 0.000
Pm1 Pm 0.000 0.000 0.500
Pm2 Pm 0.000 0.500 0.000
Pm3 Pm 0.500 0.000 0.000
Pm4 Pm 0.500 0.500 0.500
Br1 Br 0.107 0.812 0.295
Br2 Br 0.188 0.295 0.484
Br3 Br 0.188 0.705 0.893
Br4 Br 0.295 0.107 0.812
Br5 Br 0.295 0.484 0.188
Br6 Br 0.484 0.188 0.295
Br7 Br 0.516 0.812 0.705
Br8 Br 0.705 0.516 0.812
Br9 Br 0.705 0.893 0.188
Br10 Br 0.812 0.295 0.107
Br11 Br 0.812 0.705 0.516
Br12 Br 0.893 0.188 0.705
```

Computed properties:
Density of states at the Fermi level = 6.513 states/eV/cell
Symmetry = No. 204
Energy relative to the elements, uncorrected = -30.44 eV per formula unit
Total DFT energy (no corrections) = -4.140 eV per atom



Entry 11:
First-principles (PBE) data for a relaxed Be2SbPb crystal, as listed in Alexandria via LeMat-Bulk.

```
data_Be2SbPb
_space_group_name_H-M_alt 'P 1'
_space_group_IT_number 1
_cell_length_a 3.287
_cell_length_b 3.287
_cell_length_c 7.868
_cell_angle_alpha 90.00
_cell_angle_beta 90.00
_cell_angle_gamma 90.00
loop_
_space_group_symop_operation_xyz
'x,y,z'
loop_
_atom_site_label
_atom_site_type_symbol
_atom_site_fract_x
_atom_site_fract_y
_atom_site_fract_z
Be1 Be 0.000 0.000 0.000
Be2 Be 0.500 0.500 0.123
Sb1 Sb 0.500 0.500 0.808
Pb1 Pb 0.000 0.000 0.345
```

Computed properties:
Density of states at the Fermi level = 1.097 states/eV/cell
Symmetry = No. 99
Energy relative to the elements, uncorrected = 1.70 eV per formula unit
Total DFT energy (no corrections) = -3.395 eV per atom



Entry 12:
First-principles (PBE) data for a relaxed RbGa3W crystal, as listed in Alexandria via LeMat-Bulk.

```
data_RbGa3W
_space_group_name_H-M_alt 'P 1'
_space_group_IT_number 1
_cell_length_a 5.056
_cell_length_b 5.056
_cell_length_c 5.056
_cell_angle_alpha 90.00
_cell_angle_beta 90.00
_cell_angle_gamma 90.00
loop_
_space_group_symop_operation_xyz
'x,y,z'
loop_
_atom_site_label
_atom_site_type_symbol
_atom_site_fract_x
_atom_site_fract_y
_atom_site_fract_z
Rb1 Rb 0.000 0.000 0.000
Ga1 Ga 0.000 0.500 0.500
Ga2 Ga 0.500 0.000 0.500
Ga3 Ga 0.500 0.500 0.000
W1 W 0.500 0.500 0.500
```

Computed properties:
Density of states at the Fermi level = 2.625 states/eV/cell
Symmetry = No. 221
Formation energy = 17.4 kJ/mol of atoms
Total DFT energy (no corrections) = -4.420 eV per atom



Q: Among the records above, which one has the highest total DFT energy (no corrections)?
A: Li3ScTl



Q: density of states at the Fermi level of number 2 (TbAlZn)?
A: 11.534 states/eV/cell



Q: Which formula does entry 6 have?
A: CsZnF3



Q: Which value of total DFT energy (no corrections) does entry 8 give?
A: -2.591 eV per atom